1.
## LuThTi2 (PBE)

Data for a geometry-optimized LuThTi2 structure.

The structure in POSCAR format:
```
LuThTi2
1.0
4.0134 0.0000 0.0000
0.0000 4.8212 0.0000
0.0000 0.0000 4.8212
Ti Th Lu
2 1 1
Cartesian
0.0000 0.0000 2.4106
0.0000 2.4106 0.0000
2.0067 0.0000 0.0000
2.0067 2.4106 2.4106
```

Results
Offset from the most stable computed form, eV per formula unit: 0.125
Space-group type: No. 123
Total moment, μB/cell: 0.00

---

2.
## P5Rh (PBE)

Data for a geometry-optimized P5Rh structure.

The structure in POSCAR format:
```
P5Rh
1.0
-2.7059 1.6582 2.9917
-1.5671 -2.5044 -3.2085
0.9503 -5.8496 4.1017
Rh P
1 5
Cartesian
0.0000 0.0000 0.0000
-0.8778 -2.0957 3.5467
-0.3084 -4.1770 0.4466
-1.6614 -3.3479 1.9425
-1.9467 -1.1168 -1.1418
-2.3263 0.2707 0.9250
```

Results
Offset from the most stable computed form, eV per formula unit: 2.955
Space-group type: No. 191
Total moment, μB/cell: 0.00

---

3.
## Sb2IrPb (PBE)

Data for a geometry-optimized Sb2IrPb structure.

The structure in POSCAR format:
```
Sb2IrPb
1.0
-3.8335 0.5529 -3.3274
0.2650 -5.0739 0.5083
-2.3948 0.1547 2.7858
Sb Ir Pb
2 1 1
Cartesian
-1.7842 -2.2605 -1.4096
0.0000 0.0000 0.0000
-3.1141 0.3538 -0.2708
-1.0649 -2.4596 1.6471
```

Results
Energy relative to the elements, uncorrected, meV/atom: 494
Space-group type: No. 65
Total moment, μB/cell: 0.00

---

4.
## V2TeN (PBE)

Data for a geometry-optimized V2TeN structure.

The structure in POSCAR format:
```
V2TeN
1.0
0.0000 3.0327 3.0327
3.0327 0.0000 3.0327
3.0327 3.0327 0.0000
Te V N
1 2 1
Cartesian
3.0327 3.0327 3.0327
4.5491 4.5491 4.5491
1.5164 1.5164 1.5164
0.0000 0.0000 0.0000
```

Results
Energy relative to the elements, uncorrected, meV/atom: 638
Offset from the most stable computed form, eV per formula unit: 3.809
Space-group type: No. 225
Total moment, μB/cell: 1.10

---

What is the formula in the third record?
Sb2IrPb